Record 1
VASP calculation (PBE) on an optimized crystal structure of Ir2OsAu.

Properties
The theoretical density comes out at 21.00 g/cm3. The calculation puts the total moment at 0.00 μB per atom. The space-group type is Pmmm, No. 47. The formation energy comes out at 0.2769 eV per atom.

a = 2.792 Å, b = 3.843 Å, c = 5.688 Å
α = 90.00°, β = 90.00°, γ = 90.00°
Element x y z (fractional)
Au: 0.500 0.500 0.750
Ir: 0.000 0.000 0.018
Ir: 0.000 0.000 0.482
Os: 0.500 0.500 0.250

---

Record 2
VASP calculation (PBE) on an optimized crystal structure of Ir2OsAu.

Properties
The theoretical density comes out at 20.43 g/cm3. The calculation puts the total moment at 0.00 μB per atom. The space-group type is Cmm2, No. 35. The formation energy comes out at 0.4982 eV per atom.

a = 2.744 Å, b = 2.744 Å, c = 9.671 Å
α = 90.00°, β = 90.00°, γ = 120.55°
Element x y z (fractional)
Au: 0.500 0.500 0.750
Ir: 0.000 0.000 0.010
Ir: 0.500 0.500 0.252
Os: 0.000 0.000 0.487